## SbRuCl2 (PBE)

Data for an optimized crystal structure of SbRuCl2.

Cell and atoms, written as CIF:
```
data_SbRuCl2
_space_group_name_H-M_alt 'P 1'
_space_group_IT_number 1
_cell_length_a 3.114
_cell_length_b 4.589
_cell_length_c 5.382
_cell_angle_alpha 90.00
_cell_angle_beta 90.00
_cell_angle_gamma 90.00
loop_
_space_group_symop_operation_xyz
'x,y,z'
loop_
_atom_site_label
_atom_site_type_symbol
_atom_site_fract_x
_atom_site_fract_y
_atom_site_fract_z
Sb1 Sb 0.000 0.000 0.000
Ru1 Ru 0.500 0.000 0.500
Cl1 Cl 0.000 0.500 0.500
Cl2 Cl 0.500 0.500 0.000
```

Properties
Symmetry = No. 47
N(E_F) = 5.0 states/eV per cell
Energy above the lowest structure with this stoichiometry = 578 meV/atom
Magnetization = 0.964 μB/f.u.

=====

## MgVOs2 (PBE)

Data for an optimized crystal structure of MgVOs2.

Cell and atoms, written as CIF:
```
data_MgVOs2
_space_group_name_H-M_alt 'P 1'
_space_group_IT_number 1
_cell_length_a 7.100
_cell_length_b 7.100
_cell_length_c 5.248
_cell_angle_alpha 90.00
_cell_angle_beta 90.00
_cell_angle_gamma 90.00
loop_
_space_group_symop_operation_xyz
'x,y,z'
loop_
_atom_site_label
_atom_site_type_symbol
_atom_site_fract_x
_atom_site_fract_y
_atom_site_fract_z
Mg1 Mg 0.000 0.000 0.000
Mg2 Mg 0.000 0.500 0.250
Mg3 Mg 0.500 0.000 0.750
Mg4 Mg 0.500 0.500 0.500
V1 V 0.000 0.000 0.500
V2 V 0.000 0.500 0.750
V3 V 0.500 0.000 0.250
V4 V 0.500 0.500 0.000
Os1 Os 0.200 0.250 0.625
Os2 Os 0.250 0.700 0.875
Os3 Os 0.250 0.800 0.375
Os4 Os 0.300 0.250 0.125
Os5 Os 0.700 0.750 0.125
Os6 Os 0.750 0.200 0.375
Os7 Os 0.750 0.300 0.875
Os8 Os 0.800 0.750 0.625
```

Properties
Symmetry = No. 122
N(E_F) = 13.5 states/eV per cell
Total energy = -7.741 eV per atom
Magnetization = 0.000 μB/f.u.

=====

## InPb2S (PBE)

Data for an optimized crystal structure of InPb2S.

Cell and atoms, written as CIF:
```
data_InPb2S
_space_group_name_H-M_alt 'P 1'
_space_group_IT_number 1
_cell_length_a 6.511
_cell_length_b 6.511
_cell_length_c 14.170
_cell_angle_alpha 90.00
_cell_angle_beta 90.00
_cell_angle_gamma 90.00
loop_
_space_group_symop_operation_xyz
'x,y,z'
loop_
_atom_site_label
_atom_site_type_symbol
_atom_site_fract_x
_atom_site_fract_y
_atom_site_fract_z
In1 In 0.000 0.000 0.000
In2 In 0.000 0.500 0.250
In3 In 0.500 0.000 0.750
In4 In 0.500 0.500 0.500
Pb1 Pb 0.225 0.250 0.625
Pb2 Pb 0.250 0.725 0.875
Pb3 Pb 0.250 0.775 0.375
Pb4 Pb 0.275 0.250 0.125
Pb5 Pb 0.725 0.750 0.125
Pb6 Pb 0.750 0.225 0.375
Pb7 Pb 0.750 0.275 0.875
Pb8 Pb 0.775 0.750 0.625
S1 S 0.000 0.000 0.500
S2 S 0.000 0.500 0.750
S3 S 0.500 0.000 0.250
S4 S 0.500 0.500 0.000
```

Properties
Symmetry = No. 122
N(E_F) = 7.1 states/eV per cell
Energy above the lowest structure with this stoichiometry = 96 meV/atom
Magnetization = 0.000 μB/f.u.

=====

## MgAg (PBE)

Data for an optimized crystal structure of MgAg.

Cell and atoms, written as CIF:
```
data_MgAg
_space_group_name_H-M_alt 'P 1'
_space_group_IT_number 1
_cell_length_a 4.073
_cell_length_b 4.073
_cell_length_c 8.927
_cell_angle_alpha 90.00
_cell_angle_beta 90.00
_cell_angle_gamma 90.00
loop_
_space_group_symop_operation_xyz
'x,y,z'
loop_
_atom_site_label
_atom_site_type_symbol
_atom_site_fract_x
_atom_site_fract_y
_atom_site_fract_z
Mg1 Mg 0.000 0.250 0.375
Mg2 Mg 0.000 0.750 0.625
Mg3 Mg 0.500 0.250 0.125
Mg4 Mg 0.500 0.750 0.875
Ag1 Ag 0.000 0.250 0.875
Ag2 Ag 0.000 0.750 0.125
Ag3 Ag 0.500 0.250 0.625
Ag4 Ag 0.500 0.750 0.375
```

Properties
Symmetry = No. 141
N(E_F) = 1.0 states/eV per cell
Total energy = -2.433 eV per atom
Magnetization = 0.000 μB/f.u.

=====

## KSbAuI2 (PBE)

Data for an optimized crystal structure of KSbAuI2.

Cell and atoms, written as CIF:
```
data_KSbAuI2
_space_group_name_H-M_alt 'P 1'
_space_group_IT_number 1
_cell_length_a 6.377
_cell_length_b 6.377
_cell_length_c 6.861
_cell_angle_alpha 90.00
_cell_angle_beta 90.00
_cell_angle_gamma 90.00
loop_
_space_group_symop_operation_xyz
'x,y,z'
loop_
_atom_site_label
_atom_site_type_symbol
_atom_site_fract_x
_atom_site_fract_y
_atom_site_fract_z
K1 K 0.000 0.000 0.000
Sb1 Sb 0.000 0.000 0.500
Au1 Au 0.500 0.500 0.500
I1 I 0.000 0.500 0.000
I2 I 0.500 0.000 0.000
```

Properties
Symmetry = No. 123
N(E_F) = 9.6 states/eV per cell
Energy above the lowest structure with this stoichiometry = 918 meV/atom
Magnetization = 2.782 μB/f.u.

=====

## CuTe2NO (PBE)

Data for an optimized crystal structure of CuTe2NO.

Cell and atoms, written as CIF:
```
data_CuTe2NO
_space_group_name_H-M_alt 'P 1'
_space_group_IT_number 1
_cell_length_a 5.214
_cell_length_b 5.214
_cell_length_c 3.454
_cell_angle_alpha 90.00
_cell_angle_beta 90.00
_cell_angle_gamma 90.00
loop_
_space_group_symop_operation_xyz
'x,y,z'
loop_
_atom_site_label
_atom_site_type_symbol
_atom_site_fract_x
_atom_site_fract_y
_atom_site_fract_z
Cu1 Cu 0.000 0.000 0.000
Te1 Te 0.000 0.500 0.000
Te2 Te 0.500 0.000 0.000
N1 N 0.000 0.000 0.500
O1 O 0.500 0.500 0.500
```

Properties
Symmetry = No. 123
N(E_F) = 4.3 states/eV per cell
Energy above the lowest structure with this stoichiometry = 0 meV/atom
Magnetization = 1.230 μB/f.u.

=====

Which value of magnetization does entry 4 give?
0.000 μB/f.u.